Entry 1:
A PBEsol-optimized structure of NaPt5, computed with SCAN.

a b c (Å): 4.6177 7.4631 7.4631
angles (deg): 20.81 90.00 90.00
Closest atoms and distances in Å follow each position.
Positions (direct):
Na: 0.0000 0.0000 0.0000  2 Na 2.70, 10 Pt 2.81
Pt: 0.0000 0.3322 0.3322  10 Pt 2.70-2.80, 2 Na 2.81
Pt: 0.0000 0.6679 0.6679  10 Pt 2.70-2.81, 2 Na 2.81
Pt: 0.5000 0.1086 0.1086  10 Pt 2.70-2.82, 2 Na 2.81
Pt: 0.5000 0.4406 0.4406  8 Pt 2.70-2.81, 4 Na 2.81
Pt: 0.5000 0.7771 0.7771  12 Pt 2.70-2.82

Summary:
- ΔE_f (eV/atom) = 0.020
- crystal system = orthorhombic
- space-group type = Amm2, No. 38
- ΔE to the lowest computed polymorph (meV/atom) = 193

Entry 2:
A PBEsol-optimized structure of NaPt5, computed with SCAN.

a b c (Å): 5.2807 5.2807 4.3462
angles (deg): 90.00 90.00 120.00
Closest atoms and distances in Å follow each position.
Positions (direct):
Na: 0.0000 0.0000 0.0000  6 Pt 3.05
Pt: 0.0000 0.5000 0.5000  8 Pt 2.64-2.65
Pt: 0.3333 0.6667 0.0000  6 Pt 2.65
Pt: 0.5000 0.0000 0.5000  8 Pt 2.64-2.65
Pt: 0.5000 0.5000 0.5000  8 Pt 2.64-2.65
Pt: 0.6667 0.3333 0.0000  6 Pt 2.65

Summary:
- ΔE_f (eV/atom) = -0.174
- crystal system = hexagonal
- space-group type = P6/mmm, No. 191
- ΔE to the lowest computed polymorph (meV/atom) = 0

Entry 3:
A PBEsol-optimized structure of Rb3NaPt, computed with SCAN.

a b c (Å): 6.3169 6.3169 6.3169
angles (deg): 90.00 90.00 90.00
Closest atoms and distances in Å follow each position.
Positions (direct):
Rb: 0.0000 0.0000 0.5000  2 Na 3.16
Rb: 0.0000 0.5000 0.0000  2 Na 3.16
Rb: 0.5000 0.0000 0.0000  2 Na 3.16
Na: 0.0000 0.0000 0.0000  6 Rb 3.16
Pt: 0.5000 0.5000 0.5000  12 Rb 4.47

Summary:
- ΔE_f (eV/atom) = 0.700
- crystal system = cubic
- space-group type = Pm-3m, No. 221

Entry 4:
A PBEsol-optimized structure of Na3PtRh, computed with SCAN.

a b c (Å): 5.2317 5.2317 5.2317
angles (deg): 90.00 90.00 90.00
Closest atoms and distances in Å follow each position.
Positions (direct):
Na: 0.0000 0.0000 0.5000  2 Pt 2.62
Na: 0.0000 0.5000 0.0000  2 Pt 2.62
Na: 0.5000 0.0000 0.0000  2 Pt 2.62
Pt: 0.0000 0.0000 0.0000  6 Na 2.62
Rh: 0.5000 0.5000 0.5000  12 Na 3.70

Summary:
- ΔE_f (eV/atom) = 0.749
- crystal system = cubic
- space-group type = Pm-3m, No. 221
- ΔE to the lowest computed polymorph (meV/atom) = 0